Entry 1:
Material: H
Method: DFT, meta-GGA SCAN
State: PBEsol geometry

Output
Its crystal system is orthorhombic. The calculation puts the volume at 22 Å³/f.u. The calculation puts the distance to the lowest polymorph of the same formula at 1539 meV/atom. For the calculated density, the calculation gives 0.1 g/cm3. The total energy is -1.104 eV/atom.

Cell: 5.5279 6.1677 5.1310 Å, 90.00 90.00 90.00°
Each line ends with the local moment (μB).
Atoms (fractional coordinates):
H (0.6570, 0.3748, 0.0021)  0.39
H (0.1570, 0.1252, 0.9979)  0.39
H (0.3430, 0.8748, 0.4979)  0.39
H (0.6570, 0.8751, 0.9978)  0.39
H (0.8430, 0.1249, 0.4978)  0.39
H (0.1570, 0.6249, 0.0022)  0.39
H (0.8430, 0.6252, 0.5021)  0.39
H (0.3430, 0.3751, 0.5022)  0.39

Entry 2:
Material: H
Method: DFT, meta-GGA SCAN
State: PBEsol geometry

Output
Its crystal system is orthorhombic. The calculation puts the volume at 25 Å³/f.u. The calculation puts the distance to the lowest polymorph of the same formula at 1546 meV/atom. For the calculated density, the calculation gives 0.1 g/cm3. The total energy is -1.096 eV/atom.

Cell: 5.6743 5.6743 2.9845 Å, 90.00 90.00 148.22°
Each line ends with the local moment (μB).
Atoms (fractional coordinates):
H (0.6328, 0.3672, 0.0000)  0.39
H (0.3672, 0.6328, 0.0000)  0.39